K2BeCr | GGA-PBE | optimized geometry

Values from the calculation:
E_tot, eV/f.u.: -10.80
Symmetry: P2/m, No. 10

Cell and atoms, written as CIF:
```
data_K2BeCr
_cell_length_a 4.411
_cell_length_b 4.750
_cell_length_c 6.047
_cell_angle_alpha 90.00
_cell_angle_beta 90.23
_cell_angle_gamma 90.00
_symmetry_space_group_name_H-M 'P 1'
_symmetry_Int_Tables_number 1
_symmetry_space_group_name_Hall 'P 1'
loop_
_atom_site_label
_atom_site_fract_x
_atom_site_fract_y
_atom_site_fract_z
_atom_site_occupancy
K1 0.007 0.000 0.256 1
K2 0.993 0.000 0.744 1
Be1 0.500 0.500 0.500 1
Cr1 0.500 0.500 0.000 1
```